! K2BeP | Alexandria | PBE | optimized geometry; values from VASP
&SYSTEM
  ibrav = 0, nat = 8, ntyp = 3
/
ATOMIC_SPECIES
K 39.10 K.upf
Be 9.01 Be.upf
P 30.97 P.upf
CELL_PARAMETERS angstrom
4.704 0.000 0.000
0.000 4.704 0.000
0.000 0.000 9.416
ATOMIC_POSITIONS crystal
K 0.000 0.500 0.250
K 0.000 0.500 0.750
K 0.500 0.000 0.250
K 0.500 0.000 0.750
Be 0.000 0.000 0.000
Be 0.500 0.500 0.500
P 0.000 0.000 0.500
P 0.500 0.500 0.000
! Energy above the most stable polymorph in this dataset   0.849 eV per atom
! Calculated formation energy   0.607 eV per atom
! Space-group type   No. 139

! CdSi | Alexandria | PBE | optimized geometry; values from VASP
&SYSTEM
  ibrav = 0, nat = 2, ntyp = 2
/
ATOMIC_SPECIES
Cd 112.41 Cd.upf
Si 28.09 Si.upf
CELL_PARAMETERS angstrom
2.802 0.000 0.000
0.000 2.840 0.000
-0.905 0.000 5.024
ATOMIC_POSITIONS crystal
Cd 0.000 0.000 0.000
Si 0.002 0.500 0.500
! Formation energy from raw total energies   0.449 eV per atom
! Space-group type   No. 6

! Tb3HoF | Alexandria | PBE | optimized geometry; values from VASP
&SYSTEM
  ibrav = 0, nat = 5, ntyp = 3
/
ATOMIC_SPECIES
Tb 158.93 Tb.upf
Ho 164.93 Ho.upf
F 19.00 F.upf
CELL_PARAMETERS angstrom
5.041 0.000 0.000
0.000 5.041 0.000
0.000 0.000 5.041
ATOMIC_POSITIONS crystal
Tb 0.000 0.000 0.500
Tb 0.000 0.500 0.000
Tb 0.500 0.000 0.000
Ho 0.500 0.500 0.500
F 0.000 0.000 0.000
! Formation energy from raw total energies   -0.936 eV per atom
! Space-group type   No. 221

! YTm2Pd2 | Alexandria | PBE | optimized geometry; values from VASP
&SYSTEM
  ibrav = 0, nat = 10, ntyp = 3
/
ATOMIC_SPECIES
Y 88.91 Y.upf
Tm 168.93 Tm.upf
Pd 106.42 Pd.upf
CELL_PARAMETERS angstrom
7.765 0.000 0.000
0.000 7.765 0.000
0.000 0.000 3.899
ATOMIC_POSITIONS crystal
Y 0.000 0.000 0.000
Y 0.500 0.500 0.000
Tm 0.163 0.337 0.500
Tm 0.337 0.837 0.500
Tm 0.663 0.163 0.500
Tm 0.837 0.663 0.500
Pd 0.133 0.633 0.000
Pd 0.367 0.133 0.000
Pd 0.633 0.867 0.000
Pd 0.867 0.367 0.000
! Energy above the most stable polymorph in this dataset   0.000 eV per atom
! Calculated formation energy   -0.753 eV per atom
! Space-group type   No. 127

! PmThNiPd | Alexandria | PBE | optimized geometry; values from VASP
&SYSTEM
  ibrav = 0, nat = 16, ntyp = 4
/
ATOMIC_SPECIES
Pm 145.00 Pm.upf
Th 232.04 Th.upf
Ni 58.69 Ni.upf
Pd 106.42 Pd.upf
CELL_PARAMETERS angstrom
7.121 0.000 0.000
0.000 7.121 0.000
0.000 0.000 7.121
ATOMIC_POSITIONS crystal
Pm 0.000 0.000 0.000
Pm 0.000 0.500 0.500
Pm 0.500 0.000 0.500
Pm 0.500 0.500 0.000
Th 0.000 0.000 0.500
Th 0.000 0.500 0.000
Th 0.500 0.000 0.000
Th 0.500 0.500 0.500
Ni 0.250 0.250 0.250
Ni 0.250 0.750 0.750
Ni 0.750 0.250 0.750
Ni 0.750 0.750 0.250
Pd 0.250 0.250 0.750
Pd 0.250 0.750 0.250
Pd 0.750 0.250 0.250
Pd 0.750 0.750 0.750
! Energy above the most stable polymorph in this dataset   0.133 eV per atom
! Calculated formation energy   -0.457 eV per atom
! Space-group type   No. 216

! Y2Zr2Ru | Alexandria | PBE | optimized geometry; values from VASP
&SYSTEM
  ibrav = 0, nat = 10, ntyp = 3
/
ATOMIC_SPECIES
Y 88.91 Y.upf
Zr 91.22 Zr.upf
Ru 101.07 Ru.upf
CELL_PARAMETERS angstrom
6.795 0.000 0.000
0.000 6.795 0.000
0.000 0.000 5.363
ATOMIC_POSITIONS crystal
Y 0.170 0.330 0.000
Y 0.330 0.830 0.000
Y 0.670 0.170 0.000
Y 0.830 0.670 0.000
Zr 0.152 0.652 0.500
Zr 0.348 0.152 0.500
Zr 0.652 0.848 0.500
Zr 0.848 0.348 0.500
Ru 0.000 0.000 0.500
Ru 0.500 0.500 0.500
! Calculated formation energy   -0.113 eV per atom
! Space-group type   No. 127

! V2CdHCl | Alexandria | PBE | optimized geometry; values from VASP
&SYSTEM
  ibrav = 0, nat = 5, ntyp = 4
/
ATOMIC_SPECIES
V 50.94 V.upf
Cd 112.41 Cd.upf
H 1.01 H.upf
Cl 35.45 Cl.upf
CELL_PARAMETERS angstrom
3.813 0.000 0.000
0.000 3.813 0.000
0.000 0.000 5.184
ATOMIC_POSITIONS crystal
V 0.000 0.500 0.000
V 0.500 0.000 0.000
Cd 0.000 0.000 0.500
H 0.000 0.000 0.000
Cl 0.500 0.500 0.500
! Space-group type   No. 123

! Rb2NdTiO4 | Alexandria | PBE | optimized geometry; values from VASP
&SYSTEM
  ibrav = 0, nat = 16, ntyp = 4
/
ATOMIC_SPECIES
Rb 85.47 Rb.upf
Nd 144.24 Nd.upf
Ti 47.87 Ti.upf
O 16.00 O.upf
CELL_PARAMETERS angstrom
6.614 0.000 0.000
0.000 6.614 0.000
0.000 0.000 7.906
ATOMIC_POSITIONS crystal
Rb 0.000 0.000 0.000
Rb 0.000 0.500 0.250
Rb 0.500 0.000 0.750
Rb 0.500 0.500 0.500
Nd 0.000 0.500 0.750
Nd 0.500 0.000 0.250
Ti 0.000 0.000 0.500
Ti 0.500 0.500 0.000
O 0.110 0.197 0.638
O 0.197 0.890 0.362
O 0.303 0.610 0.862
O 0.390 0.303 0.138
O 0.610 0.697 0.138
O 0.697 0.390 0.862
O 0.803 0.110 0.362
O 0.890 0.803 0.638
! Formation energy from raw total energies   -2.383 eV per atom
! Space-group type   No. 82

! Sr2ZnHAu | Alexandria | PBE | optimized geometry; values from VASP
&SYSTEM
  ibrav = 0, nat = 5, ntyp = 4
/
ATOMIC_SPECIES
Sr 87.62 Sr.upf
Zn 65.41 Zn.upf
H 1.01 H.upf
Au 196.97 Au.upf
CELL_PARAMETERS angstrom
5.265 0.000 0.000
0.000 5.265 0.000
0.000 0.000 4.089
ATOMIC_POSITIONS crystal
Sr 0.000 0.500 0.000
Sr 0.500 0.000 0.000
Zn 0.000 0.000 0.500
H 0.000 0.000 0.000
Au 0.500 0.500 0.500
! Energy above the most stable polymorph in this dataset   0.000 eV per atom
! Space-group type   No. 123

! VFeRu3 | Alexandria | PBE | optimized geometry; values from VASP
&SYSTEM
  ibrav = 0, nat = 10, ntyp = 3
/
ATOMIC_SPECIES
V 50.94 V.upf
Fe 55.84 Fe.upf
Ru 101.07 Ru.upf
CELL_PARAMETERS angstrom
4.620 0.000 0.000
-2.307 4.455 0.000
-0.022 -2.516 6.387
ATOMIC_POSITIONS crystal
V 0.031 0.388 0.167
V 0.969 0.612 0.833
Fe 0.240 0.799 0.551
Fe 0.760 0.201 0.449
Ru 0.166 0.991 0.249
Ru 0.362 0.391 0.644
Ru 0.436 0.197 0.945
Ru 0.564 0.803 0.055
Ru 0.638 0.609 0.356
Ru 0.834 0.009 0.751
! Energy above the most stable polymorph in this dataset   0.000 eV per atom
! Calculated formation energy   -0.058 eV per atom
! Space-group type   No. 2

! KRb4H5 | Alexandria | PBE | optimized geometry; values from VASP
&SYSTEM
  ibrav = 0, nat = 10, ntyp = 3
/
ATOMIC_SPECIES
K 39.10 K.upf
Rb 85.47 Rb.upf
H 1.01 H.upf
CELL_PARAMETERS angstrom
-2.090 2.966 10.481
2.090 -2.966 10.481
2.090 2.966 -10.481
ATOMIC_POSITIONS crystal
K 0.000 0.000 0.000
Rb 0.198 0.198 0.000
Rb 0.402 0.402 0.000
Rb 0.598 0.598 0.000
Rb 0.802 0.802 0.000
H 0.094 0.594 0.500
H 0.299 0.799 0.500
H 0.500 0.000 0.500
H 0.701 0.201 0.500
H 0.906 0.406 0.500
! Space-group type   No. 71

! Dy8CoIr2 | Alexandria | PBE | optimized geometry; values from VASP
&SYSTEM
  ibrav = 0, nat = 11, ntyp = 3
/
ATOMIC_SPECIES
Dy 162.50 Dy.upf
Co 58.93 Co.upf
Ir 192.22 Ir.upf
CELL_PARAMETERS angstrom
4.172 -6.177 0.000
4.172 6.177 0.000
-2.045 0.000 5.644
ATOMIC_POSITIONS crystal
Dy 0.000 0.000 0.000
Dy 0.022 0.282 0.575
Dy 0.149 0.558 0.192
Dy 0.282 0.022 0.575
Dy 0.439 0.700 0.787
Dy 0.558 0.149 0.192
Dy 0.700 0.439 0.787
Dy 0.711 0.711 0.376
Co 0.351 0.351 0.363
Ir 0.049 0.675 0.684
Ir 0.675 0.049 0.684
! Calculated formation energy   -0.333 eV per atom
! Space-group type   No. 8

no.,total DFT energy (no corrections) (eV per atom),M_tot (μB per formula unit)
1,-2.23,0.000
2,-2.72,0.000
3,-5.00,0.000
4,-5.91,0.000
5,-6.24,0.000
6,-7.97,0.000
7,-4.25,1.659
8,-6.69,0.632
9,-2.65,0.000
10,-9.14,0.002
11,-2.35,0.000
12,-5.94,0.000